# 1
Computed, not measured: a relaxed structure of RbMn2CrBr8 at the GGA-PBE level of DFT.

Values from the calculation:
- Raw formation energy: -9.71 eV per formula unit

Cell lengths 6.5992, 6.5992, 32.7080 Å; angles 90.00, 90.00, 120.00 degrees
Space group R32 (No. 155, hexagonal axes)
Symmetry-distinct sites (fractional):
Rb (0.0000, 0.0000, 0.0000)
Mn (0.0000, 0.0000, 0.2384)
Cr (0.0000, 0.0000, 0.5000)
Br (0.0000, 0.0000, 0.3126)
Br (0.0193, 0.3753, 0.2187)


# 2
Computed, not measured: a relaxed structure of Y2MnCoRu at the GGA-PBE level of DFT.

Values from the calculation:
- Energy relative to the elements: 0.6695 eV per atom

Cell lengths 5.1661, 5.1661, 4.2504 Å; angles 90.00, 90.00, 90.00 degrees
Space group P4/mmm (No. 123)
Symmetry-distinct sites (fractional):
Y (0.0000, 0.5000, 0.0000)
Mn (0.0000, 0.0000, 0.0000)
Co (0.5000, 0.5000, 0.5000)
Ru (0.0000, 0.0000, 0.5000)


# 3
Computed, not measured: a relaxed structure of HgH2Pt at the GGA-PBE level of DFT.

Values from the calculation:
- Relative energy among the computed polymorphs: 3.13 eV per formula unit

Cell lengths 5.6250, 5.6250, 5.6250 Å; angles 90.00, 90.00, 90.00 degrees
Space group Fm-3m (No. 225)
Symmetry-distinct sites (fractional):
Hg (0.0000, 0.0000, 0.0000)
H (0.2500, 0.2500, 0.2500)
Pt (0.0000, 0.0000, 0.5000)


# 4
Computed, not measured: a relaxed structure of YCl2 at the GGA-PBE level of DFT.

Values from the calculation:
- Raw formation energy: -3.66 eV per formula unit

Cell lengths 6.2575, 6.2575, 12.4797 Å; angles 90.00, 90.00, 120.00 degrees
Space group P6_3/mmc (No. 194)
Symmetry-distinct sites (fractional):
Y (0.3333, 0.6667, 0.1050)
Cl (0.0000, 0.0000, 0.0000)
Cl (0.1624, 0.3248, 0.2500)


# 5
Computed, not measured: a relaxed structure of Er4Sb2Se at the GGA-PBE level of DFT.

Values from the calculation:
- Raw formation energy: -6.65 eV per formula unit

Cell lengths 7.5452, 6.5109, 8.8390 Å; angles 90.00, 113.98, 90.00 degrees
Space group P2_1/m (No. 11)
Symmetry-distinct sites (fractional):
Er (0.1503, 0.2500, 0.0887)
Er (0.1705, 0.7500, 0.3590)
Er (0.2909, 0.0029, 0.7736)
Sb (0.0894, 0.2500, 0.4318)
Sb (0.3059, 0.7500, 0.0759)
Se (0.4936, 0.7500, 0.6414)


# 6
Computed, not measured: a relaxed structure of Rb3NaTl at the GGA-PBE level of DFT.

Values from the calculation:
- Relative energy among the computed polymorphs: 0.72 eV per formula unit
- Energy relative to the elements: 0.1350 eV per atom

Cell lengths 7.1614, 7.1614, 7.1614 Å; angles 90.00, 90.00, 90.00 degrees
Space group Pm-3m (No. 221)
Symmetry-distinct sites (fractional):
Rb (0.0000, 0.0000, 0.5000)
Na (0.5000, 0.5000, 0.5000)
Tl (0.0000, 0.0000, 0.0000)


no.,E (eV per atom)
1,-4.3353
2,-7.0263
3,-2.4650
4,-4.6044
5,-5.2331
6,-1.1826